Pm3Ho3ScTe8: optimized geometry, PBE.

## Properties
Raw formation energy in meV/atom: -1360
Crystal system: trigonal
M_tot in μB per formula unit: 0.0
V in A^3/atom: 31.59
Density in g/cm3: 6.99

a = 8.7256 Å, b = 8.7256 Å, c = 21.5597 Å
α = 90.00°, β = 90.00°, γ = 120.00°
Space group R-3m (No. 166, hexagonal axes)
Symmetry-distinct sites (fractional):
1 Pm 0.0000 0.5000 0.0000 x9
2 Ho 0.0000 0.5000 0.5000 x9
3 Sc 0.0000 0.0000 0.5000 x3
4 Te 0.0000 0.0000 0.2466 x6
5 Te 0.0007 0.5003 0.2463 x18

=====

LiGa6Os: optimized geometry, PBE.

## Properties
Crystal system: trigonal
M_tot in μB per formula unit: 0.0
V in A^3/atom: 19.56
Density in g/cm3: 6.53
Formation enthalpy at 0 K in eV/f.u.: -0.14

a = 8.5780 Å, b = 8.5780 Å, c = 7.3659 Å
α = 90.00°, β = 90.00°, γ = 120.00°
Space group R-3m (No. 166, hexagonal axes)
Symmetry-distinct sites (fractional):
1 Li 0.0000 0.0000 0.0000 x3
2 Ga 0.0479 0.5240 0.3273 x18
3 Os 0.0000 0.0000 0.5000 x3

=====

La4CdGe: optimized geometry, PBE.

## Properties
Crystal system: cubic
M_tot in μB per formula unit: 0.0
V in A^3/atom: 32.19
Density in g/cm3: 6.37
Formation enthalpy at 0 K in eV/f.u.: -2.29

a = 14.566 Å, b = 14.566 Å, c = 14.566 Å
α = 90.00°, β = 90.00°, γ = 90.00°
Space group F-43m (No. 216)
Symmetry-distinct sites (fractional):
1 La 0.000 0.000 0.186 x24
2 La 0.062 0.250 0.750 x24
3 La 0.109 0.109 0.391 x16
4 Cd 0.170 0.170 0.170 x16
5 Ge 0.104 0.104 0.604 x16

=====

AsH2Br: optimized geometry, PBE.

## Properties
E above lowest polymorph in eV per formula unit: 0.00
Crystal system: orthorhombic
M_tot in μB per formula unit: 0.0
V in A^3/atom: 18.12
Density in g/cm3: 3.59

a = 6.124 Å, b = 8.753 Å, c = 2.704 Å
α = 90.00°, β = 90.00°, γ = 90.00°
Space group Pmm2 (No. 25)
Symmetry-distinct sites (fractional):
1 As 0.000 0.179 0.000 x2
2 H 0.190 0.295 0.999 x4
3 Br 0.500 0.000 0.504 x1
4 Br 0.500 0.500 0.991 x1

=====

CeInIr2: optimized geometry, PBE.

## Properties
Crystal system: tetragonal
M_tot in μB per formula unit: 0.1
V in A^3/atom: 19.17
Density in g/cm3: 13.85
Formation enthalpy at 0 K in eV/f.u.: -1.76

a = 4.493 Å, b = 4.493 Å, c = 3.798 Å
α = 90.00°, β = 90.00°, γ = 90.00°
Space group P4/mmm (No. 123)
Symmetry-distinct sites (fractional):
1 Ce 0.000 0.000 0.000 x1
2 In 0.500 0.500 0.000 x1
3 Ir 0.000 0.500 0.500 x2

=====

K2Pm2US6: optimized geometry, PBE.

## Properties
Raw formation energy in meV/atom: -1726
Crystal system: monoclinic
M_tot in μB per formula unit: 2.0
V in A^3/atom: 29.90
Density in g/cm3: 4.03

a = 7.128 Å, b = 12.285 Å, c = 7.884 Å
α = 90.00°, β = 107.69°, γ = 90.00°
Space group C2/m (No. 12)
Symmetry-distinct sites (fractional):
1 K 0.000 0.169 0.000 x4
2 Pm 0.000 0.334 0.500 x4
3 U 0.000 0.000 0.500 x2
4 S 0.226 0.162 0.697 x8
5 S 0.249 0.500 0.697 x4

=====

CoReNi2: optimized geometry, PBE.

## Properties
E above lowest polymorph in eV per formula unit: 0.44
Crystal system: trigonal
M_tot in μB per formula unit: 2.3
V in A^3/atom: 12.26
Density in g/cm3: 12.27
Formation enthalpy at 0 K in eV/f.u.: 0.46

a = 2.6243 Å, b = 2.6243 Å, c = 24.6759 Å
α = 90.00°, β = 90.00°, γ = 120.00°
Space group R3m (No. 160, hexagonal axes)
Symmetry-distinct sites (fractional):
1 Co 0.0000 0.0000 0.0000 x3
2 Re 0.0000 0.0000 0.1661 x3
3 Ni 0.0000 0.0000 0.4138 x3
4 Ni 0.0000 0.0000 0.5854 x3

=====

ReAuN2O: optimized geometry, PBE.

## Properties
Raw formation energy in meV/atom: 2284
Crystal system: tetragonal
M_tot in μB per formula unit: 3.1
V in A^3/atom: 13.06
Density in g/cm3: 10.86

a = 4.077 Å, b = 4.077 Å, c = 3.928 Å
α = 90.00°, β = 90.00°, γ = 90.00°
Space group P4/mmm (No. 123)
Symmetry-distinct sites (fractional):
1 Re 0.000 0.000 0.000 x1
2 Au 0.500 0.500 0.500 x1
3 N 0.000 0.500 0.500 x2
4 O 0.500 0.500 0.000 x1